18
Lattice="-4.7475 2.6834 0.9557 1.3451 -1.4945 -5.1585 -4.9054 -9.1695 1.3774" Properties=species:S:1:pos:R:3 comment="VCoPbF6 | the Alexandria database | PBE with a Hubbard U | relaxed" dft_energy_ev_per_fu=-49.05 magmom_total_mub_per_atom=0.667 pbc="T T T"
Pb -2.4527 -4.5848 0.6887
Pb 0.0000 0.0000 0.0000
F -2.9479 -2.8557 -1.0448
F -2.8598 -0.5727 -2.5169
F -5.4481 -7.4080 -0.3084
F -7.2484 -6.1349 1.7550
F -8.0550 -6.1405 -1.1552
F -7.3896 -3.7717 -0.0005
F -1.0594 -1.8458 -4.5803
F -0.9183 -4.2090 -2.8249
F -4.8733 -4.9384 1.1939
F -3.4345 -3.0422 -4.0193
F -0.2528 -1.8401 -1.6702
F -5.3599 -5.1249 -1.7806
Co -1.9121 -2.3943 -2.7761
Co -6.3957 -5.5864 -0.0493
V -4.3648 -6.9790 -2.0874
V -3.9430 -1.0016 -0.7380